The following is a DFT calculation (meta-GGA SCAN) of a crystal of BaTe2Au2 relaxed with PBEsol.

Geometry as extended XYZ:
```
5
Lattice="-3.941 3.030 1.190 0.749 -0.976 4.962 4.822 3.045 -2.762" Properties=species:S:1:pos:R:3 pbc="T T T"
Te 1.987 1.548 2.638
Te -0.358 3.551 0.752
Au 2.394 3.022 0.233
Au -0.765 2.077 3.157
Ba 0.000 0.000 0.000
```

Values from the calculation:
As for the space group: I4/mmm (139).

---

The following is a DFT calculation (meta-GGA SCAN) of a crystal of Ba2TeAu relaxed with PBEsol.

Geometry as extended XYZ:
```
4
Lattice="-3.856 2.650 -0.777 -2.283 -3.809 -1.664 1.103 -0.659 6.755" Properties=species:S:1:pos:R:3 pbc="T T T"
Au -2.125 -2.524 1.936
Ba 0.000 0.000 0.000
Ba -2.911 0.705 2.379
Te -3.069 -0.580 -1.220
```

Values from the calculation:
As for the space group: I-4m2 (119).

---

The following is a DFT calculation (meta-GGA SCAN) of a crystal of BaTeAu2 relaxed with PBEsol.

Geometry as extended XYZ:
```
4
Lattice="-0.799 0.596 4.410 1.392 -4.297 0.833 5.451 1.914 0.761" Properties=species:S:1:pos:R:3 pbc="T T T"
Au 0.096 0.035 0.018
Au 2.140 -1.641 0.623
Ba 2.202 1.211 2.566
Te 3.932 -0.138 5.381
```

Values from the calculation:
As for the space group: Pm (6).

---

For each record above, in turn, the calculated E_tot values are -255.83, -189.92, -218.33 eV per cell.